[1]
## SrLi4Al4 (GGA-PBE)

Data for a relaxed structure of SrLi4Al4.

abc: 9.1481 9.1481 4.6142
angles: 90.00 90.00 90.00
With the nearest neighbours (Å) after each atom.
Space group I4/m (No. 87)
Asymmetric unit:
1 Sr 0.0000 0.0000 0.0000 x2  4 Al 3.62, 12 Li 3.64-3.78
2 Li 0.1612 0.2626 0.5000 x8  5 Al 2.66-2.98, 2 Li 2.83
3 Al 0.0850 0.3866 0.0000 x8  1 Al 2.59, 4 Li 2.66-2.87

Results
The calculation puts the total DFT energy (no corrections) at -25.11 eV per formula unit. The density of states at the Fermi level comes out at 3.8 states/eV per cell.

---

[2]
## Sr2LiAl (GGA-PBE)

Data for a relaxed structure of Sr2LiAl.

abc: 3.8954 3.8954 8.8894
angles: 90.00 90.00 90.00
With the nearest neighbours (Å) after each atom.
Space group P4mm (No. 99)
Asymmetric unit:
1 Sr 0.0000 0.0000 0.0000 x1  1 Al 3.43, 4 Li 3.59
2 Sr 0.5000 0.5000 0.3764 x1  1 Li 3.24, 4 Al 3.47
3 Li 0.5000 0.5000 0.7409 x1  4 Al 2.98, 1 Sr 3.24
4 Al 0.0000 0.0000 0.6137 x1  4 Li 2.98

Results
The calculation puts the total DFT energy (no corrections) at -8.99 eV per formula unit. The density of states at the Fermi level comes out at 2.3 states/eV per cell.

---

[3]
## Sr2LiAl (GGA-PBE)

Data for a relaxed structure of Sr2LiAl.

abc: 10.4306 3.8118 7.4866
angles: 90.00 98.95 90.00
With the nearest neighbours (Å) after each atom.
Space group C2/m (No. 12)
Asymmetric unit:
1 Sr 0.2396 0.0000 0.2289 x4  3 Al 3.39-3.43, 3 Li 3.46-3.66
2 Li 0.0000 0.0000 0.5000 x2  6 Sr 3.46-3.66, 2 Li 3.81
3 Al 0.0000 0.5000 0.0000 x2  6 Sr 3.39-3.43

Results
The calculation puts the total DFT energy (no corrections) at -8.43 eV per formula unit. The density of states at the Fermi level comes out at 6.5 states/eV per cell.

---

[4]
## SrLiAl (GGA-PBE)

Data for a relaxed structure of SrLiAl.

abc: 7.5694 7.5694 7.5694
angles: 90.00 90.00 90.00
With the nearest neighbours (Å) after each atom.
Space group F-43m (No. 216)
Asymmetric unit:
1 Sr 0.0000 0.0000 0.0000 x4  4 Li 3.28, 4 Al 3.28
2 Li 0.2500 0.2500 0.7500 x4  4 Sr 3.28
3 Al 0.2500 0.2500 0.2500 x4  4 Sr 3.28

Results
The calculation puts the total DFT energy (no corrections) at -5.77 eV per formula unit. For the relative energy among the computed polymorphs, the calculation gives 0.615 eV/atom. The density of states at the Fermi level comes out at 15.8 states/eV per cell.

---

[5]
## SrLiAl3 (GGA-PBE)

Data for a relaxed structure of SrLiAl3.

abc: 4.8015 4.8015 4.8015
angles: 90.00 90.00 90.00
With the nearest neighbours (Å) after each atom.
Space group Pm-3m (No. 221)
Asymmetric unit:
1 Sr 0.0000 0.0000 0.0000 x1  12 Al 3.40
2 Li 0.5000 0.5000 0.5000 x1  6 Al 2.40
3 Al 0.0000 0.5000 0.5000 x3  2 Li 2.40

Results
The calculation puts the total DFT energy (no corrections) at -14.19 eV per formula unit. For the relative energy among the computed polymorphs, the calculation gives 0.299 eV/atom. The density of states at the Fermi level comes out at 2.6 states/eV per cell.

---

[6]
## Sr3Li4Al2 (GGA-PBE)

Data for a relaxed structure of Sr3Li4Al2.

abc: 11.4054 4.9245 9.4644
angles: 90.00 104.78 90.00
With the nearest neighbours (Å) after each atom.
Space group C2/m (No. 12)
Asymmetric unit:
1 Sr 0.0000 0.0000 0.0000 x2  8 Li 3.30-3.66, 2 Al 3.56
2 Sr 0.1201 0.5000 0.3752 x4  4 Li 3.31-3.46, 4 Al 3.55-3.63
3 Li 0.0984 0.0000 0.6609 x4  2 Al 2.80, 1 Li 2.82
4 Li 0.2290 0.5000 0.0656 x4  3 Al 2.81-2.94, 3 Li 2.82-2.85
5 Al 0.2027 0.5000 0.7626 x4  5 Li 2.80-2.94

Results
The calculation puts the total DFT energy (no corrections) at -20.85 eV per formula unit. The density of states at the Fermi level comes out at 13.1 states/eV per cell.

---

[7]
## Sr4Li5Al (GGA-PBE)

Data for a relaxed structure of Sr4Li5Al.

abc: 10.0327 10.0327 6.7908
angles: 90.00 90.00 90.00
With the nearest neighbours (Å) after each atom.
Space group I4 (No. 79)
Asymmetric unit:
1 Sr 0.0651 0.7007 0.0000 x8  1 Al 3.39, 5 Li 3.44-3.74
2 Li 0.0000 0.0000 0.2277 x2  4 Li 2.89, 1 Al 2.98
3 Li 0.0829 0.8063 0.5175 x8  1 Al 2.80, 3 Li 2.89-2.99
4 Al 0.0000 0.0000 0.7887 x2  5 Li 2.80-2.98

Results
The calculation puts the total DFT energy (no corrections) at -19.78 eV per formula unit. The density of states at the Fermi level comes out at 18.8 states/eV per cell.

---

[8]
## SrLi9Al3 (GGA-PBE)

Data for a relaxed structure of SrLi9Al3.

abc: 5.5367 13.6326 7.4509
angles: 90.00 110.51 90.00
With the nearest neighbours (Å) after each atom.
Space group C2/m (No. 12)
Asymmetric unit:
1 Sr 0.0000 0.0000 0.0000 x2  14 Li 3.41-3.78, 6 Al 3.68-3.73
2 Li 0.0000 0.5000 0.5000 x2  2 Al 2.77, 8 Li 2.82-3.07
3 Li 0.1207 0.3833 0.2311 x8  3 Al 2.76-2.83, 4 Li 2.82-3.09
4 Li 0.1531 0.1784 0.3434 x8  6 Li 2.89-3.10, 3 Al 2.91-2.96
5 Al 0.0000 0.0000 0.5000 x2  10 Li 2.77-2.95
6 Al 0.2500 0.2500 0.0000 x4  8 Li 2.76-2.96, 2 Al 2.77

Results
The calculation puts the total DFT energy (no corrections) at -31.30 eV per formula unit. The density of states at the Fermi level comes out at 14.1 states/eV per cell.

---

[9]
## Sr2Li4Al3 (GGA-PBE)

Data for a relaxed structure of Sr2Li4Al3.

abc: 5.6493 10.1252 15.0121
angles: 90.00 90.00 90.00
With the nearest neighbours (Å) after each atom.
Space group Fmmm (No. 69)
Asymmetric unit:
1 Sr 0.0000 0.0000 0.1292 x8  8 Li 3.34-3.61, 6 Al 3.43-3.49
2 Li 0.0000 0.1732 0.3390 x16  3 Al 2.90-2.99, 3 Li 3.09-3.22
3 Al 0.0000 0.0000 0.5000 x4  4 Al 2.90, 4 Li 2.99
4 Al 0.2500 0.2500 0.0000 x8  4 Al 2.82-2.90, 4 Li 2.90

Results
The calculation puts the total DFT energy (no corrections) at -23.44 eV per formula unit. The density of states at the Fermi level comes out at 20.3 states/eV per cell.

---

[10]
## SrLi4Al (GGA-PBE)

Data for a relaxed structure of SrLi4Al.

abc: 9.2722 9.2866 14.4766
angles: 90.00 90.00 90.00
With the nearest neighbours (Å) after each atom.
Space group Fmmm (No. 69)
Asymmetric unit:
1 Sr 0.2500 0.2500 0.0000 x8  8 Li 3.50, 2 Al 3.62
2 Li 0.0000 0.1538 0.1705 x16  2 Al 2.74, 4 Li 2.86-3.06
3 Li 0.1536 0.0000 0.3295 x16  2 Al 2.74, 4 Li 2.85-3.06
4 Al 0.2500 0.2500 0.2500 x8  8 Li 2.74

Results
The calculation puts the total DFT energy (no corrections) at -12.90 eV per formula unit. For the relative energy among the computed polymorphs, the calculation gives 0.074 eV/atom. The density of states at the Fermi level comes out at 24.0 states/eV per cell.

---

[11]
## SrLiAl (GGA-PBE)

Data for a relaxed structure of SrLiAl.

abc: 5.0923 5.0923 3.7445
angles: 90.00 90.00 120.00
With the nearest neighbours (Å) after each atom.
Space group P-6m2 (No. 187)
Asymmetric unit:
1 Sr 0.0000 0.0000 0.0000 x1  6 Al 3.49, 6 Li 3.49, 2 Sr 3.74
2 Li 0.3333 0.6667 0.5000 x1  3 Al 2.94
3 Al 0.6667 0.3333 0.5000 x1  3 Li 2.94

Results
The calculation puts the total DFT energy (no corrections) at -7.45 eV per formula unit. For the relative energy among the computed polymorphs, the calculation gives 0.057 eV/atom. The density of states at the Fermi level comes out at 3.5 states/eV per cell.

---

[12]
## Sr2LiAl (GGA-PBE)

Data for a relaxed structure of Sr2LiAl.

abc: 3.9648 3.9648 32.7886
angles: 90.00 90.00 120.00
With the nearest neighbours (Å) after each atom.
Space group R-3m (No. 166, hexagonal axes)
Asymmetric unit:
1 Sr 0.0000 0.0000 0.2426 x6  3 Al 3.38, 3 Li 3.75
2 Li 0.0000 0.0000 0.0000 x3  6 Sr 3.75, 6 Li 3.96
3 Al 0.0000 0.0000 0.5000 x3  6 Sr 3.38

Results
The calculation puts the total DFT energy (no corrections) at -8.50 eV per formula unit. The density of states at the Fermi level comes out at 5.8 states/eV per cell.